# 1
DFT (PBE-GGA) results for a relaxed Sc3Zn4Pd4 crystal.

Properties
M_tot	0.000	Bohr magnetons per cell
calculated formation energy	-0.589	eV/atom
ρ	7.0	g/cm³
crystal system	orthorhombic

a = 3.733 Å, b = 7.570 Å, c = 13.742 Å
α = 90.00°, β = 90.00°, γ = 90.00°
Space group Immm (No. 71)
One atom of each set of equivalent atoms:
1 Sc 0.000 0.000 0.000 (multiplicity 2)
2 Sc 0.000 0.500 0.123 (multiplicity 4)
3 Zn 0.000 0.291 0.326 (multiplicity 8)
4 Pd 0.000 0.000 0.219 (multiplicity 4)
5 Pd 0.000 0.188 0.500 (multiplicity 4)


# 2
DFT (PBE-GGA) results for a relaxed ScZn2Pd crystal.

Properties
M_tot	0.000	Bohr magnetons per cell
calculated formation energy	-0.259	eV/atom
ρ	6.5	g/cm³
crystal system	tetragonal

a = 3.853 Å, b = 3.853 Å, c = 19.444 Å
α = 90.00°, β = 90.00°, γ = 90.00°
Space group I-42d (No. 122)
One atom of each set of equivalent atoms:
1 Sc 0.000 0.000 0.000 (multiplicity 4)
2 Zn 0.222 0.250 0.625 (multiplicity 8)
3 Pd 0.000 0.000 0.500 (multiplicity 4)


# 3
DFT (PBE-GGA) results for a relaxed Sc3ZnPd5 crystal.

Properties
M_tot	0.000	Bohr magnetons per cell
calculated formation energy	-0.812	eV/atom
ρ	7.9	g/cm³
crystal system	hexagonal

a = 7.9899 Å, b = 7.9899 Å, c = 5.5402 Å
α = 90.00°, β = 90.00°, γ = 120.00°
Space group P6_3/mcm (No. 193)
One atom of each set of equivalent atoms:
1 Sc 0.0000 0.3629 0.2500 (multiplicity 6)
2 Zn 0.0000 0.0000 0.0000 (multiplicity 2)
3 Pd 0.0000 0.3023 0.7500 (multiplicity 6)
4 Pd 0.3333 0.6667 0.0000 (multiplicity 4)


# 4
DFT (PBE-GGA) results for a relaxed ScZn10Pd2 crystal.

Properties
M_tot	0.000	Bohr magnetons per cell
calculated formation energy	-0.252	eV/atom
ρ	7.4	g/cm³
crystal system	orthorhombic

a = 5.418 Å, b = 12.215 Å, c = 12.409 Å
α = 90.00°, β = 90.00°, γ = 90.00°
Space group Fmmm (No. 69)
One atom of each set of equivalent atoms:
1 Sc 0.000 0.000 0.000 (multiplicity 4)
2 Zn 0.000 0.107 0.394 (multiplicity 16)
3 Zn 0.000 0.172 0.175 (multiplicity 16)
4 Zn 0.250 0.250 0.000 (multiplicity 8)
5 Pd 0.250 0.000 0.250 (multiplicity 8)


# 5
DFT (PBE-GGA) results for a relaxed Sc2Zn3Pd crystal.

Properties
M_tot	0.000	Bohr magnetons per cell
calculated formation energy	-0.501	eV/atom
ρ	6.3	g/cm³
crystal system	orthorhombic

a = 6.143 Å, b = 8.855 Å, c = 15.307 Å
α = 90.00°, β = 90.00°, γ = 90.00°
Space group Fmmm (No. 69)
One atom of each set of equivalent atoms:
1 Sc 0.246 0.000 0.000 (multiplicity 8)
2 Sc 0.250 0.250 0.250 (multiplicity 8)
3 Zn 0.000 0.000 0.335 (multiplicity 8)
4 Zn 0.000 0.247 0.418 (multiplicity 16)
5 Pd 0.000 0.000 0.167 (multiplicity 8)


# 6
DFT (PBE-GGA) results for a relaxed ScZn3Pd crystal.

Properties
M_tot	0.703	Bohr magnetons per cell
relative energy among the computed polymorphs	2.54	eV/f.u.
calculated formation energy	0.038	eV/atom
ρ	5.5	g/cm³
crystal system	cubic

a = 4.710 Å, b = 4.710 Å, c = 4.710 Å
α = 90.00°, β = 90.00°, γ = 90.00°
Space group Pm-3m (No. 221)
One atom of each set of equivalent atoms:
1 Sc 0.000 0.000 0.000 (multiplicity 1)
2 Zn 0.000 0.500 0.500 (multiplicity 3)
3 Pd 0.500 0.500 0.500 (multiplicity 1)


# 7
DFT (PBE-GGA) results for a relaxed ScZn4Pd7 crystal.

Properties
M_tot	0.000	Bohr magnetons per cell
calculated formation energy	-0.359	eV/atom
ρ	8.8	g/cm³
crystal system	monoclinic

a = 11.621 Å, b = 4.650 Å, c = 9.001 Å
α = 90.00°, β = 125.26°, γ = 90.00°
Space group C2/m (No. 12)
One atom of each set of equivalent atoms:
1 Sc 0.000 0.000 0.000 (multiplicity 2)
2 Zn 0.072 0.500 0.778 (multiplicity 4)
3 Zn 0.208 0.500 0.337 (multiplicity 4)
4 Pd 0.000 0.500 0.000 (multiplicity 2)
5 Pd 0.068 0.000 0.341 (multiplicity 4)
6 Pd 0.153 0.500 0.578 (multiplicity 4)
7 Pd 0.219 0.000 0.881 (multiplicity 4)


# 8
DFT (PBE-GGA) results for a relaxed ScZnPd14 crystal.

Properties
M_tot	0.004	Bohr magnetons per cell
calculated formation energy	-0.283	eV/atom
ρ	10.7	g/cm³
crystal system	tetragonal

a = 5.614 Å, b = 5.614 Å, c = 7.855 Å
α = 90.00°, β = 90.00°, γ = 90.00°
Space group P4/mmm (No. 123)
One atom of each set of equivalent atoms:
1 Sc 0.000 0.000 0.000 (multiplicity 1)
2 Zn 0.500 0.500 0.000 (multiplicity 1)
3 Pd 0.000 0.000 0.500 (multiplicity 1)
4 Pd 0.000 0.500 0.000 (multiplicity 2)
5 Pd 0.000 0.500 0.500 (multiplicity 2)
6 Pd 0.251 0.251 0.247 (multiplicity 8)
7 Pd 0.500 0.500 0.500 (multiplicity 1)


# 9
DFT (PBE-GGA) results for a relaxed ScZn4Pd2 crystal.

Properties
M_tot	0.545	Bohr magnetons per cell
relative energy among the computed polymorphs	6.12	eV/f.u.
calculated formation energy	0.431	eV/atom
ρ	5.4	g/cm³
crystal system	tetragonal

a = 4.920 Å, b = 4.920 Å, c = 13.118 Å
α = 90.00°, β = 90.00°, γ = 90.00°
Space group I4/mmm (No. 139)
One atom of each set of equivalent atoms:
1 Sc 0.000 0.000 0.000 (multiplicity 2)
2 Zn 0.000 0.000 0.213 (multiplicity 4)
3 Zn 0.000 0.500 0.000 (multiplicity 4)
4 Pd 0.000 0.000 0.401 (multiplicity 4)


# 10
DFT (PBE-GGA) results for a relaxed ScZn2Pd3 crystal.

Properties
M_tot	0.000	Bohr magnetons per cell
calculated formation energy	-0.685	eV/atom
ρ	8.7	g/cm³
crystal system	tetragonal

a = 3.274 Å, b = 3.274 Å, c = 8.770 Å
α = 90.00°, β = 90.00°, γ = 90.00°
Space group P4/mmm (No. 123)
One atom of each set of equivalent atoms:
1 Sc 0.000 0.000 0.000 (multiplicity 1)
2 Zn 0.000 0.000 0.344 (multiplicity 2)
3 Pd 0.500 0.500 0.177 (multiplicity 2)
4 Pd 0.500 0.500 0.500 (multiplicity 1)


# 11
DFT (PBE-GGA) results for a relaxed Sc3Zn4Pd2 crystal.

Properties
M_tot	0.000	Bohr magnetons per cell
calculated formation energy	-0.517	eV/atom
ρ	6.4	g/cm³
crystal system	monoclinic

a = 8.270 Å, b = 4.675 Å, c = 8.173 Å
α = 90.00°, β = 96.80°, γ = 90.00°
Space group C2/m (No. 12)
One atom of each set of equivalent atoms:
1 Sc 0.000 0.000 0.000 (multiplicity 2)
2 Sc 0.127 0.500 0.722 (multiplicity 4)
3 Zn 0.054 0.000 0.359 (multiplicity 4)
4 Zn 0.179 0.500 0.073 (multiplicity 4)
5 Pd 0.219 0.500 0.389 (multiplicity 4)


# 12
DFT (PBE-GGA) results for a relaxed ScZn2Pd crystal.

Properties
M_tot	0.000	Bohr magnetons per cell
calculated formation energy	-0.462	eV/atom
ρ	7.1	g/cm³
crystal system	tetragonal

a = 3.879 Å, b = 3.879 Å, c = 4.411 Å
α = 90.00°, β = 90.00°, γ = 90.00°
Space group P4/mmm (No. 123)
One atom of each set of equivalent atoms:
1 Sc 0.000 0.000 0.000 (multiplicity 1)
2 Zn 0.000 0.500 0.500 (multiplicity 2)
3 Pd 0.500 0.500 0.000 (multiplicity 1)


Please write out number 1 again, unchanged.
DFT (PBE-GGA) results for a relaxed Sc3Zn4Pd4 crystal.

Properties
M_tot	0.000	Bohr magnetons per cell
calculated formation energy	-0.589	eV/atom
ρ	7.0	g/cm³
crystal system	orthorhombic

a = 3.733 Å, b = 7.570 Å, c = 13.742 Å
α = 90.00°, β = 90.00°, γ = 90.00°
Space group Immm (No. 71)
One atom of each set of equivalent atoms:
1 Sc 0.000 0.000 0.000 (multiplicity 2)
2 Sc 0.000 0.500 0.123 (multiplicity 4)
3 Zn 0.000 0.291 0.326 (multiplicity 8)
4 Pd 0.000 0.000 0.219 (multiplicity 4)
5 Pd 0.000 0.188 0.500 (multiplicity 4)